Record 1
Crystalline HfTh2PN5 at its relaxed geometry. Source: Alexandria, functional GGA-PBE.

Geometry as CIF:
```
data_HfTh2PN5
_chemical_formula_sum 'Hf2 Th4 P2 N10'
_cell_length_a 6.686
_cell_length_b 6.686
_cell_length_c 5.493
_cell_angle_alpha 90.00
_cell_angle_beta 90.00
_cell_angle_gamma 90.00
_symmetry_space_group_name_H-M 'P 4/m b m'
_symmetry_Int_Tables_number 127
_symmetry_space_group_name_Hall '-P 4 2ab'
loop_
_atom_site_label
_atom_site_type_symbol
_atom_site_fract_x
_atom_site_fract_y
_atom_site_fract_z
Hf1 Hf 0.000 0.000 0.000
Th1 Th 0.178 0.322 0.500
P1 P 0.000 0.500 0.000
N1 N 0.000 0.000 0.500
N2 N 0.135 0.635 0.220
```

Computed properties:
- Formation energy from raw total energies: -0.637 eV per atom
- ρ: 10.06 Mg/m³
- Total moment: 0.000 μB per formula unit

Record 2
Crystalline Sr2SnBr at its relaxed geometry. Source: Alexandria, functional GGA-PBE.

Geometry as CIF:
```
data_Sr2SnBr
_chemical_formula_sum 'Sr6 Sn3 Br3'
_cell_length_a 4.5096
_cell_length_b 4.5096
_cell_length_c 25.7448
_cell_angle_alpha 90.00
_cell_angle_beta 90.00
_cell_angle_gamma 120.00
_symmetry_space_group_name_H-M 'R 3 m'
_symmetry_Int_Tables_number 160
_symmetry_space_group_name_Hall 'R 3 -2"'
loop_
_atom_site_label
_atom_site_type_symbol
_atom_site_fract_x
_atom_site_fract_y
_atom_site_fract_z
Sr1 Sr 0.0000 0.0000 0.0000
Sr2 Sr 0.0000 0.0000 0.1772
Sn1 Sn 0.0000 0.0000 0.5888
Br1 Br 0.0000 0.0000 0.7596
```

Computed properties:
- Distance to the lowest polymorph of the same formula: 0.43 eV/f.u.
- Formation energy from raw total energies: -1.029 eV per atom
- ρ: 4.11 Mg/m³
- Total moment: 0.000 μB per formula unit

Record 3
Crystalline CePuRu3 at its relaxed geometry. Source: Alexandria, functional GGA-PBE.

Geometry as CIF:
```
data_CePuRu3
_chemical_formula_sum 'Ce3 Pu3 Ru9'
_cell_length_a 6.7928
_cell_length_b 6.7928
_cell_length_c 7.4842
_cell_angle_alpha 90.00
_cell_angle_beta 90.00
_cell_angle_gamma 120.00
_symmetry_space_group_name_H-M 'R 3 m'
_symmetry_Int_Tables_number 160
_symmetry_space_group_name_Hall 'R 3 -2"'
loop_
_atom_site_label
_atom_site_type_symbol
_atom_site_fract_x
_atom_site_fract_y
_atom_site_fract_z
Ce1 Ce 0.0000 0.0000 0.0000
Pu1 Pu 0.0000 0.0000 0.3740
Ru1 Ru 0.1970 0.3940 0.3425
```

Computed properties:
- ρ: 11.45 Mg/m³
- Total moment: 3.032 μB per formula unit

Record 4
Crystalline GaTcCl3 at its relaxed geometry. Source: Alexandria, functional GGA-PBE.

Geometry as CIF:
```
data_GaTcCl3
_chemical_formula_sum 'Ga1 Tc1 Cl3'
_cell_length_a 5.025
_cell_length_b 5.025
_cell_length_c 5.025
_cell_angle_alpha 90.00
_cell_angle_beta 90.00
_cell_angle_gamma 90.00
_symmetry_space_group_name_H-M 'P m -3 m'
_symmetry_Int_Tables_number 221
_symmetry_space_group_name_Hall '-P 4 2 3'
loop_
_atom_site_label
_atom_site_type_symbol
_atom_site_fract_x
_atom_site_fract_y
_atom_site_fract_z
Ga1 Ga 0.000 0.000 0.000
Tc1 Tc 0.500 0.500 0.500
Cl1 Cl 0.000 0.000 0.500
```

Computed properties:
- Distance to the lowest polymorph of the same formula: 2.84 eV/f.u.
- Formation energy from raw total energies: 0.299 eV per atom
- ρ: 3.59 Mg/m³
- Total moment: 4.787 μB per formula unit

Record 5
Crystalline Ca12Sb5N2 at its relaxed geometry. Source: Alexandria, functional GGA-PBE.

Geometry as CIF:
```
data_Ca12Sb5N2
_chemical_formula_sum 'Ca24 Sb10 N4'
_cell_length_a 17.095
_cell_length_b 7.676
_cell_length_c 9.712
_cell_angle_alpha 90.00
_cell_angle_beta 106.56
_cell_angle_gamma 90.00
_symmetry_space_group_name_H-M 'C 1 2/m 1'
_symmetry_Int_Tables_number 12
_symmetry_space_group_name_Hall '-C 2y'
loop_
_atom_site_label
_atom_site_type_symbol
_atom_site_fract_x
_atom_site_fract_y
_atom_site_fract_z
Ca1 Ca 0.001 0.000 0.166
Ca2 Ca 0.001 0.500 0.836
Ca3 Ca 0.152 0.252 0.075
Ca4 Ca 0.154 0.253 0.577
Sb1 Sb 0.000 0.500 0.500
Sb2 Sb 0.185 0.000 0.838
Sb3 Sb 0.188 0.000 0.347
N1 N 0.000 0.247 0.000
```

Computed properties:
- Formation energy from raw total energies: -0.845 eV per atom
- ρ: 3.04 Mg/m³
- Total moment: 2.880 μB per formula unit

Record 6
Crystalline ScNb2I at its relaxed geometry. Source: Alexandria, functional GGA-PBE.

Geometry as CIF:
```
data_ScNb2I
_chemical_formula_sum 'Sc4 Nb8 I4'
_cell_length_a 6.839
_cell_length_b 6.839
_cell_length_c 6.839
_cell_angle_alpha 90.00
_cell_angle_beta 90.00
_cell_angle_gamma 90.00
_symmetry_space_group_name_H-M 'F m -3 m'
_symmetry_Int_Tables_number 225
_symmetry_space_group_name_Hall '-F 4 2 3'
loop_
_atom_site_label
_atom_site_type_symbol
_atom_site_fract_x
_atom_site_fract_y
_atom_site_fract_z
Sc1 Sc 0.000 0.000 0.000
Nb1 Nb 0.250 0.250 0.250
I1 I 0.000 0.000 0.500
```

Computed properties:
- Distance to the lowest polymorph of the same formula: 0.93 eV/f.u.
- Formation energy from raw total energies: 0.709 eV per atom
- ρ: 7.43 Mg/m³
- Total moment: 1.778 μB per formula unit

Record 7
Crystalline CsTh4 at its relaxed geometry. Source: Alexandria, functional GGA-PBE.

Geometry as CIF:
```
data_CsTh4
_chemical_formula_sum 'Cs1 Th4'
_cell_length_a 5.792
_cell_length_b 5.792
_cell_length_c 5.792
_cell_angle_alpha 90.00
_cell_angle_beta 90.00
_cell_angle_gamma 90.00
_symmetry_space_group_name_H-M 'P m -3 m'
_symmetry_Int_Tables_number 221
_symmetry_space_group_name_Hall '-P 4 2 3'
loop_
_atom_site_label
_atom_site_type_symbol
_atom_site_fract_x
_atom_site_fract_y
_atom_site_fract_z
Cs1 Cs 0.000 0.000 0.000
Th1 Th 0.000 0.000 0.500
Th2 Th 0.500 0.500 0.500
```

Computed properties:
- ρ: 9.07 Mg/m³
- Total moment: 0.000 μB per formula unit

Record 8
Crystalline NbZnMo at its relaxed geometry. Source: Alexandria, functional GGA-PBE.

Geometry as CIF:
```
data_NbZnMo
_chemical_formula_sum 'Nb4 Zn4 Mo4'
_cell_length_a 3.853
_cell_length_b 4.042
_cell_length_c 12.360
_cell_angle_alpha 90.00
_cell_angle_beta 90.00
_cell_angle_gamma 90.00
_symmetry_space_group_name_H-M 'A m m 2'
_symmetry_Int_Tables_number 38
_symmetry_space_group_name_Hall 'A 2 -2'
loop_
_atom_site_label
_atom_site_type_symbol
_atom_site_fract_x
_atom_site_fract_y
_atom_site_fract_z
Nb1 Nb 0.000 0.000 0.000
Nb2 Nb 0.000 0.000 0.326
Zn1 Zn 0.500 0.000 0.163
Zn2 Zn 0.500 0.000 0.832
Mo1 Mo 0.000 0.000 0.666
Mo2 Mo 0.500 0.000 0.500
```

Computed properties:
- Distance to the lowest polymorph of the same formula: 0.01 eV/f.u.
- ρ: 8.77 Mg/m³
- Total moment: 0.000 μB per formula unit

no.,raw total energy (eV per atom)
1,-8.62
2,-3.29
3,-9.45
4,-3.49
5,-4.07
6,-6.30
7,-4.56
8,-7.36